Entry 1:
NdPuNi2O6: relaxed, PBE with a Hubbard U.

abc: 5.5115 5.5098 5.8069
angles: 61.64 61.64 59.99
Sites, in units of the cell vectors:
1 O 0.2437 0.9001 0.2366
2 Ni 0.5227 0.5226 0.4320
3 O 0.3622 0.7273 0.7521
4 O 0.6198 0.2438 0.2364
5 O 0.7272 0.1582 0.7523
6 O 0.1585 0.3624 0.7519
7 Pu 0.3166 0.3166 0.0503
8 O 0.9001 0.6196 0.2367
9 Nd 0.7991 0.7992 0.6024
10 Ni 0.0117 0.0119 0.9647

Computed properties:
space-group type	R3, No. 146
energy	-7.584	eV per atom
spin magnetization	7.0	μB per formula unit

=====

Entry 2:
Nd2NiRuO6: relaxed, PBE with a Hubbard U.

abc: 5.8084 5.4453 9.5045
angles: 55.26 90.00 90.00
Sites, in units of the cell vectors:
1 O 0.1964 0.7481 0.9502
2 O 0.7037 0.8624 0.9474
3 Nd 0.9316 0.7694 0.7506
4 O 0.0302 0.3466 0.7536
5 O 0.5302 0.6534 0.7464
6 Nd 0.0684 0.2306 0.2494
7 Ru 0.0000 0.0000 0.0000
8 O 0.2963 0.1376 0.0526
9 Ru 0.5000 0.0000 0.5000
10 O 0.8036 0.2519 0.0498
11 Ni 0.0000 0.5000 0.5000
12 O 0.7963 0.8624 0.4474
13 O 0.3036 0.7481 0.4502
14 O 0.4698 0.3466 0.2536
15 Nd 0.5684 0.7694 0.2506
16 Nd 0.4316 0.2306 0.7494
17 O 0.2037 0.1376 0.5526
18 O 0.9698 0.6534 0.2464
19 O 0.6964 0.2519 0.5498
20 Ni 0.5000 0.5000 0.0000

Computed properties:
space-group type	P2_1/c, No. 14
energy	-7.317	eV per atom
spin magnetization	4.0	μB per formula unit

=====

Entry 3:
NdNi2SbO6: relaxed, PBE with a Hubbard U.

abc: 5.4003 5.4013 5.7570
angles: 62.03 62.03 60.00
Sites, in units of the cell vectors:
1 Sb 0.3192 0.3193 0.0423
2 O 0.5956 0.2437 0.2314
3 Nd 0.7991 0.7991 0.6030
4 O 0.1600 0.3636 0.7603
5 O 0.9293 0.5957 0.2312
6 Ni 0.0131 0.0130 0.9609
7 Ni 0.5220 0.5218 0.4343
8 O 0.2437 0.9294 0.2313
9 O 0.3637 0.7159 0.7603
10 O 0.7160 0.1601 0.7603

Computed properties:
space-group type	R3, No. 146
energy	-6.168	eV per atom
spin magnetization	4.0	μB per formula unit

=====

Entry 4:
SrNdNiSbO6: relaxed, PBE with a Hubbard U.

abc: 5.6438 5.6438 5.6438
angles: 60.00 60.00 60.00
Sites, in units of the cell vectors:
1 Ni 0.0000 0.0000 0.0000
2 Sb 0.5000 0.5000 0.5000
3 O 0.7470 0.7470 0.2530
4 O 0.2530 0.7470 0.7470
5 Sr 0.2500 0.2500 0.2500
6 O 0.7470 0.2530 0.2530
7 O 0.2530 0.2530 0.7470
8 O 0.7470 0.2530 0.7470
9 Nd 0.7500 0.7500 0.7500
10 O 0.2530 0.7470 0.2530

Computed properties:
space-group type	F-43m, No. 216
energy	-6.420	eV per atom
spin magnetization	2.0	μB per formula unit

=====

Entry 5:
Nd2ScNiO6: relaxed, PBE with a Hubbard U.

abc: 5.4506 5.5687 8.1786
angles: 90.00 88.25 90.00
Sites, in units of the cell vectors:
1 Ni 0.5000 0.0000 0.0000
2 O 0.4032 0.9724 0.7464
3 Nd 0.0158 0.9497 0.2540
4 O 0.3026 0.7186 0.0506
5 O 0.9032 0.5276 0.2464
6 O 0.2219 0.2006 0.0548
7 Sc 0.0000 0.5000 0.0000
8 O 0.2781 0.7006 0.4452
9 O 0.7219 0.2994 0.5548
10 Nd 0.4842 0.4497 0.2460
11 O 0.6974 0.2814 0.9494
12 O 0.8026 0.7814 0.5506
13 O 0.7781 0.7994 0.9452
14 O 0.1974 0.2186 0.4494
15 O 0.5968 0.0276 0.2536
16 Nd 0.9842 0.0503 0.7460
17 Sc 0.5000 0.0000 0.5000
18 Ni 0.0000 0.5000 0.5000
19 O 0.0968 0.4724 0.7536
20 Nd 0.5158 0.5503 0.7540

Computed properties:
space-group type	P2_1/c, No. 14
energy	-7.572	eV per atom
spin magnetization	1.0	μB per formula unit

=====

Entry 6:
NdNiSe2O6: relaxed, PBE with a Hubbard U.

abc: 5.2135 5.2135 6.6438
angles: 66.90 66.90 60.00
Sites, in units of the cell vectors:
1 Se 0.2070 0.2070 0.3790
2 O 0.9285 0.5326 0.2454
3 O 0.7065 0.0715 0.7546
4 Nd 0.0000 0.0000 0.0000
5 O 0.2935 0.9285 0.2454
6 Ni 0.5000 0.5000 0.5000
7 O 0.5326 0.2935 0.2454
8 O 0.0715 0.4674 0.7546
9 Se 0.7930 0.7930 0.6210
10 O 0.4674 0.7065 0.7546

Computed properties:
space-group type	R-3, No. 148
energy	-5.646	eV per atom
spin magnetization	1.5	μB per formula unit

=====

Entry 7:
NdNi3Se4O12: relaxed, PBE with a Hubbard U.

abc: 6.6983 6.6983 6.6983
angles: 105.55 105.55 105.55
Sites, in units of the cell vectors:
1 O 0.0533 0.9467 0.5000
2 O 0.3253 0.6747 0.5000
3 Ni 0.0000 0.5782 0.4218
4 Se 0.1082 0.5000 0.8918
5 Ni 0.4218 0.0000 0.5782
6 O 0.2563 0.3339 0.0070
7 O 0.9467 0.5000 0.0533
8 Se 0.5000 0.8918 0.1082
9 O 0.9930 0.6661 0.7437
10 Ni 0.5782 0.4218 0.0000
11 O 0.5000 0.0533 0.9467
12 O 0.3339 0.0070 0.2563
13 O 0.6661 0.7437 0.9930
14 Nd 0.0000 0.0000 0.0000
15 Se 0.5000 0.5000 0.5000
16 O 0.6747 0.5000 0.3253
17 O 0.7437 0.9930 0.6661
18 Se 0.8918 0.1082 0.5000
19 O 0.0070 0.2563 0.3339
20 O 0.5000 0.3253 0.6747

Computed properties:
space-group type	R32, No. 155
energy	-5.186	eV per atom
spin magnetization	5.6	μB per formula unit

=====

Entry 8:
NdNiSe2O8: relaxed, PBE with a Hubbard U.

abc: 5.5418 5.5418 6.8172
angles: 90.00 90.00 120.00
Sites, in units of the cell vectors:
1 Ni 0.0000 0.0000 0.0000
2 O 0.8445 0.1555 0.2096
3 O 0.6667 0.3333 0.5117
4 O 0.8445 0.6890 0.2096
5 Se 0.3333 0.6667 0.7350
6 O 0.1555 0.3110 0.7904
7 Se 0.6667 0.3333 0.2650
8 Nd 0.0000 0.0000 0.5000
9 O 0.3110 0.1555 0.2096
10 O 0.1555 0.8445 0.7904
11 O 0.6890 0.8445 0.7904
12 O 0.3333 0.6667 0.4883

Computed properties:
space-group type	P-3m1, No. 164
energy	-5.691	eV per atom
spin magnetization	1.8	μB per formula unit

=====

Please write out number 5 again, unchanged.
Nd2ScNiO6: relaxed, PBE with a Hubbard U.

abc: 5.4506 5.5687 8.1786
angles: 90.00 88.25 90.00
Sites, in units of the cell vectors:
1 Ni 0.5000 0.0000 0.0000
2 O 0.4032 0.9724 0.7464
3 Nd 0.0158 0.9497 0.2540
4 O 0.3026 0.7186 0.0506
5 O 0.9032 0.5276 0.2464
6 O 0.2219 0.2006 0.0548
7 Sc 0.0000 0.5000 0.0000
8 O 0.2781 0.7006 0.4452
9 O 0.7219 0.2994 0.5548
10 Nd 0.4842 0.4497 0.2460
11 O 0.6974 0.2814 0.9494
12 O 0.8026 0.7814 0.5506
13 O 0.7781 0.7994 0.9452
14 O 0.1974 0.2186 0.4494
15 O 0.5968 0.0276 0.2536
16 Nd 0.9842 0.0503 0.7460
17 Sc 0.5000 0.0000 0.5000
18 Ni 0.0000 0.5000 0.5000
19 O 0.0968 0.4724 0.7536
20 Nd 0.5158 0.5503 0.7540

Computed properties:
space-group type	P2_1/c, No. 14
energy	-7.572	eV per atom
spin magnetization	1.0	μB per formula unit